Below is crystalline SrMnCrF6 at its relaxed geometry, with properties calculated at the GGA+U level.

The structure in CIF format:
```
data_SrMnCrF6
_chemical_formula_sum 'Sr2 Mn2 Cr2 F12'
_cell_length_a 5.7994
_cell_length_b 5.7994
_cell_length_c 9.1211
_cell_angle_alpha 90.00
_cell_angle_beta 90.00
_cell_angle_gamma 120.00
_symmetry_space_group_name_H-M 'P -3 1 c'
_symmetry_Int_Tables_number 163
_symmetry_space_group_name_Hall '-P 3 2c'
loop_
_atom_site_label
_atom_site_type_symbol
_atom_site_fract_x
_atom_site_fract_y
_atom_site_fract_z
Sr1 Sr 0.3333 0.6667 0.2500
Mn1 Mn 0.0000 0.0000 0.0000
Cr1 Cr 0.3333 0.6667 0.7500
F1 F 0.0411 0.3394 0.6236
```

For the magnetic moment, the calculation gives 9.0 μB per formula unit. The value obtained for the volume is 14.76 Å³ per atom. The calculation puts the total DFT energy (no corrections) at -108.07 eV for the cell shown.